[1]
This record from Alexandria via LeMat-Bulk describes a relaxed Mg2B2PdPt5 crystal. The functional is PBE-GGA.

Lattice parameters (Å, degrees): 3.215 9.403 9.403 90.00 90.00 90.00
Sites, in units of the cell vectors:
Mg 0.000 0.677 0.177
Mg 0.000 0.323 0.823
Mg 0.000 0.177 0.323
Mg 0.000 0.823 0.677
B 0.000 0.127 0.627
B 0.000 0.873 0.373
B 0.000 0.627 0.873
B 0.000 0.373 0.127
Pd 0.000 0.000 0.000
Pd 0.000 0.500 0.500
Pt 0.500 0.220 0.072
Pt 0.500 0.780 0.928
Pt 0.500 0.072 0.780
Pt 0.500 0.720 0.428
Pt 0.500 0.928 0.220
Pt 0.500 0.280 0.572
Pt 0.500 0.572 0.720
Pt 0.500 0.428 0.280
Pt 0.500 0.500 0.000
Pt 0.500 0.000 0.500

Summary:
The density of states at the Fermi level comes out at 0.223 states/eV per atom. The energy relative to the elements is -501 meV/atom.


[2]
This record from Alexandria via LeMat-Bulk describes a relaxed Y2Ho6ErTh crystal. The functional is PBE-GGA.

Lattice parameters (Å, degrees): 8.984 8.902 8.902 116.28 91.01 91.01
Sites, in units of the cell vectors:
Y 0.440 0.796 0.686
Y 0.060 0.314 0.204
Y 0.560 0.204 0.314
Y 0.940 0.686 0.796
Ho 0.062 0.123 0.778
Ho 0.438 0.222 0.877
Ho 0.938 0.877 0.222
Ho 0.562 0.778 0.123
Ho 0.306 0.001 0.437
Ho 0.194 0.563 0.999
Ho 0.694 0.999 0.563
Ho 0.806 0.437 0.001
Ho 0.101 0.722 0.475
Ho 0.399 0.525 0.278
Ho 0.899 0.278 0.525
Ho 0.601 0.475 0.722
Er 0.250 0.420 0.580
Er 0.750 0.580 0.420
Th 0.250 0.962 0.038
Th 0.750 0.038 0.962

Summary:
The density of states at the Fermi level comes out at 1.449 states/eV per atom. The energy relative to the elements is 154 meV/atom.


[3]
This record from Alexandria via LeMat-Bulk describes a relaxed Er2Zn3Ni2 crystal. The functional is PBE-GGA.

Lattice parameters (Å, degrees): 4.137 5.195 6.356 102.74 90.00 113.46
Sites, in units of the cell vectors:
Er 0.619 0.237 0.350
Er 0.381 0.763 0.650
Zn 0.293 0.586 0.125
Zn 0.000 0.000 0.000
Zn 0.707 0.414 0.875
Ni 0.092 0.185 0.670
Ni 0.908 0.815 0.330

Summary:
The density of states at the Fermi level comes out at 0.589 states/eV per atom. The energy relative to the elements is -397 meV/atom.


[4]
This record from Alexandria via LeMat-Bulk describes a relaxed TaZn2Si crystal. The functional is PBE-GGA.

Lattice parameters (Å, degrees): 5.260 5.260 5.260 139.53 139.53 58.56
Sites, in units of the cell vectors:
Si 0.250 0.750 0.500
Ta 0.750 0.250 0.500
Zn 0.000 0.000 0.000
Zn 0.500 0.500 0.000

Summary:
The density of states at the Fermi level comes out at 0.287 states/eV per atom. For the energy relative to the elements, uncorrected, the calculation gives -0.097 eV/atom.


[5]
This record from Alexandria via LeMat-Bulk describes a relaxed Ba3ReS crystal. The functional is PBE-GGA.

Lattice parameters (Å, degrees): 5.785 5.785 5.785 90.00 90.00 90.00
Sites, in units of the cell vectors:
Re 0.000 0.000 0.000
S 0.500 0.500 0.500
Ba 0.000 0.500 0.000
Ba 0.000 0.000 0.500
Ba 0.500 0.000 0.000

Summary:
The density of states at the Fermi level comes out at 0.482 states/eV per atom. For the energy relative to the elements, uncorrected, the calculation gives 0.229 eV/atom. For the relative energy among the computed polymorphs, the calculation gives 0 meV per atom.


[6]
This record from Alexandria via LeMat-Bulk describes a relaxed In2Ni7SnGe2 crystal. The functional is PBE-GGA.

Lattice parameters (Å, degrees): 3.534 3.534 14.995 83.16 83.16 89.98
Sites, in units of the cell vectors:
In 0.634 0.634 0.734
In 0.366 0.366 0.266
Ni 0.500 0.500 0.000
Ni 0.279 0.279 0.446
Ni 0.721 0.721 0.554
Ni 0.934 0.434 0.132
Ni 0.434 0.934 0.132
Ni 0.566 0.066 0.868
Ni 0.066 0.566 0.868
Sn 0.000 0.000 0.000
Ge 0.803 0.803 0.396
Ge 0.197 0.197 0.604

Summary:
The density of states at the Fermi level comes out at 0.627 states/eV per atom. The energy relative to the elements is 3 meV/atom.